Record 1
## TbThRu2 (GGA-PBE)

Data for an optimized crystal structure of TbThRu2.

a b c (Å): 3.493 4.928 4.928
angles (deg): 90.00 90.00 90.00
Fractional coordinates of all 4 atoms:
Ru  0.000  0.000  0.500
Ru  0.000  0.500  0.000
Tb  0.500  0.500  0.500
Th  0.500  0.000  0.000

- VASP energy: -32.195 eV for the cell shown
- Size of the total moment: 0.000 μB/atom
- Density: 11.61 Mg/m³

=====

Record 2
## Tc2MoP (GGA-PBE)

Data for an optimized crystal structure of Tc2MoP.

a b c (Å): 3.002 4.282 4.430
angles (deg): 90.00 90.00 90.00
Fractional coordinates of all 4 atoms:
Tc  0.000  0.000  0.000
Tc  0.500  0.000  0.500
Mo  0.500  0.500  0.000
P  0.000  0.500  0.500

- VASP energy: -36.832 eV for the cell shown
- Size of the total moment: 0.000 μB/atom
- Density: 9.42 Mg/m³

=====

Record 3
## POs2Br (GGA-PBE)

Data for an optimized crystal structure of POs2Br.

a b c (Å): 5.124 5.124 5.124
angles (deg): 137.44 137.44 61.76
Fractional coordinates of all 4 atoms:
Br  0.750  0.250  0.500
Os  0.000  0.000  0.000
Os  0.250  0.750  0.500
P  0.500  0.500  0.000

- VASP energy: -24.083 eV for the cell shown
- Size of the total moment: 0.000 μB/atom
- Density: 13.41 Mg/m³
- Uncorrected formation energy: 1.365 eV/atom